Material: K2TlNi2F7
Method: DFT, PBE with a Hubbard U
State: optimized geometry

Results
Space-group type ... I4/mmm (139)
Crystal system ... tetragonal
Raw total energy ... -4.24 eV per atom

Cell and atoms, written as extended XYZ:
```
12
Lattice="-2.052 2.052 10.747 2.052 -2.052 10.747 2.052 2.052 -10.747" Properties=species:S:1:pos:R:3 pbc="T T T"
K 0.000 0.000 4.002
K 0.000 0.000 17.491
Tl 0.000 0.000 0.000
Ni 0.000 0.000 8.648
Ni 0.000 0.000 12.845
F 2.052 0.000 2.123
F 0.000 0.000 6.637
F 2.052 0.000 8.624
F 0.000 0.000 10.747
F 0.000 2.052 2.123
F 0.000 0.000 14.857
F 0.000 2.052 8.624
```